Entry 1:
The following is a DFT calculation (PBE-GGA) of crystalline Tl3HgF2 at its relaxed geometry.

Calculated values
E	-0.216	Ry/atom
ΔE_f (raw)	-1.08	eV per atom
magnetization	0.000	μB/atom

abc: 9.5085 12.0473 6.0076
angles: 90.00 90.00 90.00
Last column: nearest neighbours and their distance in Å.
Space group Cmcm (No. 63)
Unique sites:
Tl: 0.0000 0.1165 0.2500  4 F 2.59
Tl: 0.1977 0.3714 0.2500  2 F 2.52
Hg: 0.0000 0.3658 0.7500  6 Tl 3.54-3.68, 4 F 3.87
F: 0.1652 0.0000 0.0000  4 Tl 2.52-2.59

Entry 2:
The following is a DFT calculation (PBE-GGA) of crystalline Ba2MnAu at its relaxed geometry.

Calculated values
E	-0.298	Ry/atom
ΔE to the lowest computed polymorph	0.100	eV/atom
magnetization	0.902	μB/atom

abc: 5.7372 5.7372 4.0494
angles: 90.00 90.00 90.00
Last column: nearest neighbours and their distance in Å.
Space group P4/mmm (No. 123)
Unique sites:
Ba: 0.0000 0.5000 0.0000  4 Mn 3.51, 4 Au 3.51
Mn: 0.0000 0.0000 0.5000  8 Ba 3.51
Au: 0.5000 0.5000 0.5000  8 Ba 3.51

Entry 3:
The following is a DFT calculation (PBE-GGA) of crystalline Cs2HfTaAg at its relaxed geometry.

Calculated values
E	-0.238	Ry/atom
magnetization	1.031	μB/atom

abc: 6.1240 6.1240 5.6871
angles: 90.00 90.00 90.00
Last column: nearest neighbours and their distance in Å.
Space group P4/mmm (No. 123)
Unique sites:
Cs: 0.0000 0.5000 0.0000  2 Ag 3.06
Hf: 0.0000 0.0000 0.5000  2 Ag 2.84
Ta: 0.5000 0.5000 0.5000  8 Cs 4.18, 4 Hf 4.33
Ag: 0.0000 0.0000 0.0000  2 Hf 2.84, 4 Cs 3.06

Entry 4:
The following is a DFT calculation (PBE-GGA) of crystalline TbPr2Cd at its relaxed geometry.

Calculated values
E	-0.288	Ry/atom
ΔE to the lowest computed polymorph	0.000	eV/atom
magnetization	0.000	μB/atom

abc: 3.7449 3.7449 9.0774
angles: 90.00 90.00 90.00
Last column: nearest neighbours and their distance in Å.
Space group P4/mmm (No. 123)
Unique sites:
Tb: 0.0000 0.0000 0.0000  8 Pr 3.62, 4 Tb 3.74
Pr: 0.5000 0.5000 0.2727  4 Cd 3.36, 4 Tb 3.62, 4 Pr 3.74
Cd: 0.0000 0.0000 0.5000  8 Pr 3.36, 4 Cd 3.74

Entry 5:
The following is a DFT calculation (PBE-GGA) of crystalline Ca2GeTe2 at its relaxed geometry.

Calculated values
E	-0.284	Ry/atom
ΔE to the lowest computed polymorph	0.000	eV/atom
ΔE_f (raw)	-0.88	eV per atom
magnetization	0.000	μB/atom

abc: 8.4984 8.4984 4.0924
angles: 90.00 90.00 90.00
Last column: nearest neighbours and their distance in Å.
Space group P4/mbm (No. 127)
Unique sites:
Ca: 0.1530 0.3470 0.0000  6 Te 3.08-3.32
Ge: 0.0000 0.0000 0.5000  4 Te 3.21
Te: 0.1551 0.6551 0.5000  6 Ca 3.08-3.32, 2 Ge 3.21

Entry 6:
The following is a DFT calculation (PBE-GGA) of crystalline LaThGe4 at its relaxed geometry.

Calculated values
E	-0.420	Ry/atom
ΔE to the lowest computed polymorph	0.000	eV/atom
magnetization	0.000	μB/atom

abc: 9.4104 7.5468 4.5375
angles: 90.00 118.44 90.00
Last column: nearest neighbours and their distance in Å.
Space group C2/m (No. 12)
Unique sites:
La: 0.0000 0.0000 0.0000  12 Ge 3.23-3.34
Th: 0.0000 0.5000 0.5000  12 Ge 3.26-3.32
Ge: 0.2476 0.3314 0.2479  3 Ge 2.54-2.58

Entry 7:
The following is a DFT calculation (PBE-GGA) of crystalline BaAg2Sn3 at its relaxed geometry.

Calculated values
E	-0.257	Ry/atom
ΔE to the lowest computed polymorph	0.060	eV/atom
magnetization	0.000	μB/atom

abc: 12.2432 9.6667 5.8535
angles: 90.00 90.00 90.00
Last column: nearest neighbours and their distance in Å.
Space group Cmcm (No. 63)
Unique sites:
Ba: 0.0000 0.1833 0.2500  9 Sn 3.59-3.87, 4 Ag 3.98
Ag: 0.2343 0.5000 0.0000  4 Sn 2.88-2.97, 2 Ag 2.93
Sn: 0.0000 0.4456 0.7500  4 Sn 3.07-3.11, 4 Ag 3.26
Sn: 0.1899 0.2381 0.7500  4 Ag 2.88-2.97, 1 Sn 3.07

Entry 8:
The following is a DFT calculation (PBE-GGA) of crystalline Pr4CoI2N at its relaxed geometry.

Calculated values
E	-0.407	Ry/atom
ΔE_f (raw)	-0.83	eV per atom
magnetization	0.000	μB/atom

abc: 7.1009 3.8761 8.3418
angles: 90.00 106.67 90.00
Last column: nearest neighbours and their distance in Å.
Space group P2/m (No. 10)
Unique sites:
Pr: 0.2002 0.0000 0.1736  2 N 2.59
Pr: 0.2709 0.5000 0.8225  2 Co 2.69, 1 N 2.74
Co: 0.5000 0.0000 0.0000  6 Pr 2.69-2.90
I: 0.0000 0.0000 0.5000  6 Pr 3.41-3.42
I: 0.5000 0.5000 0.5000  6 Pr 3.52, 2 I 3.88
N: 0.0000 0.5000 0.0000  6 Pr 2.59-2.74